Arrangement 1

PrYZr after structural relaxation, computed with PBE.

Structure (POSCAR):
```
PrYZr
1.0
4.819 0.000 0.006
0.000 3.430 -0.009
-0.014 -1.733 10.785
Pr Y Zr
2 2 2
direct
0.347 0.037 0.512 Pr
0.847 0.952 0.311 Pr
0.347 0.362 0.137 Y
0.847 0.627 0.687 Y
0.847 0.781 0.980 Zr
0.347 0.209 0.844 Zr
```

Computed properties:
Symmetry: No. 11

---

Arrangement 2

PrYZr after structural relaxation, computed with PBE.

Structure (POSCAR):
```
PrYZr
1.0
-2.612 1.972 1.029
-2.215 -2.450 -0.926
2.863 -2.802 6.919
Pr Y Zr
1 1 1
direct
0.990 0.990 0.980 Pr
0.680 0.680 0.361 Y
0.330 0.330 0.659 Zr
```

Computed properties:
Symmetry: No. 107

---

The most stable of them is arrangement 2.

---

Arrangement 1

PrYZr after structural relaxation, computed with PBE.

Structure (POSCAR):
```
PrYZr
1.0
3.470 0.000 0.000
-1.735 3.005 0.000
0.000 0.000 8.562
Pr Y Zr
1 1 1
direct
0.000 0.000 0.019 Pr
0.333 0.667 0.645 Y
0.667 0.333 0.337 Zr
```

Computed properties:
Symmetry: No. 156

---

Arrangement 2

PrYZr after structural relaxation, computed with PBE.

Structure (POSCAR):
```
PrYZr
1.0
3.479 0.000 0.106
1.738 3.014 0.106
1.215 0.702 17.179
Zr Y Pr
2 2 2
direct
0.019 0.019 0.224 Zr
0.734 0.734 0.084 Zr
0.634 0.634 0.381 Y
0.119 0.119 0.927 Y
0.241 0.241 0.561 Pr
0.512 0.512 0.746 Pr
```

Computed properties:
Symmetry: No. 12

---

The most stable of them is arrangement 2.

---

Arrangement 1

PrY2Zr after structural relaxation, computed with PBE.

Structure (POSCAR):
```
PrY2Zr
1.0
4.954 0.000 0.000
0.000 4.931 0.000
0.000 0.000 4.931
Pr Y Zr
1 2 1
direct
0.500 0.500 0.500 Pr
0.000 0.000 0.500 Y
0.000 0.500 0.000 Y
0.500 0.000 0.000 Zr
```

Computed properties:
Symmetry: No. 123

---

Arrangement 2

PrY2Zr after structural relaxation, computed with PBE.

Structure (POSCAR):
```
PrY2Zr
1.0
-1.371 3.026 -1.105
-1.423 0.215 -3.192
-11.074 -1.939 2.888
Pr Y Zr
1 2 1
direct
0.500 0.500 0.499 Pr
0.077 0.077 0.770 Y
0.257 0.257 0.230 Y
0.666 0.666 0.001 Zr
```

Computed properties:
Symmetry: No. 160

---

The most stable of them is arrangement 2.